LiZnBi3 | PBE | optimized geometry

a = 5.1962 Å, b = 5.1962 Å, c = 5.1962 Å
α = 90.00°, β = 90.00°, γ = 90.00°
Last column: nearest neighbours and their distance in Å.
Element x y z (fractional)
Li 0.0000 0.0000 0.0000  6 Bi 2.60
Zn 0.5000 0.5000 0.5000  12 Bi 3.67
Bi 0.0000 0.0000 0.5000  2 Li 2.60
Bi 0.0000 0.5000 0.0000  2 Li 2.60
Bi 0.5000 0.0000 0.0000  2 Li 2.60

Calculated values
- Symmetry: Pm-3m
- Density: 8.3 g cm⁻³
- V: 140 Å³/cell
- DOS at the Fermi energy: 1.84 states/eV/cell
- DFT total energy: -2.642 eV per atom